[1]
LaY3Co | meta-GGA SCAN | PBEsol geometry Values from VASP.

Geometry as Quantum ESPRESSO input:
```
&SYSTEM
  ibrav = 0, nat = 5, ntyp = 3
/
ATOMIC_SPECIES
La 138.91 La.upf
Y 88.91 Y.upf
Co 58.93 Co.upf
CELL_PARAMETERS angstrom
5.254 0.000 0.000
0.000 5.254 0.000
0.000 0.000 5.254
ATOMIC_POSITIONS crystal
La 0.000 0.000 0.000
Y 0.000 0.500 0.500
Y 0.500 0.000 0.500
Y 0.500 0.500 0.000
Co 0.500 0.500 0.500
```

## Properties
Energy   -28.808 eV per atom
SG   Pm-3m (221)

=====

[2]
LaYCo10 | meta-GGA SCAN | PBEsol geometry Values from VASP.

Geometry as Quantum ESPRESSO input:
```
&SYSTEM
  ibrav = 0, nat = 12, ntyp = 3
/
ATOMIC_SPECIES
La 138.91 La.upf
Y 88.91 Y.upf
Co 58.93 Co.upf
CELL_PARAMETERS angstrom
3.901 0.000 0.000
0.000 4.871 0.000
0.000 0.000 8.472
ATOMIC_POSITIONS crystal
La 0.000 0.000 0.000
Y 0.000 0.500 0.500
Co 0.000 0.000 0.333
Co 0.000 0.000 0.667
Co 0.000 0.500 0.169
Co 0.000 0.500 0.831
Co 0.500 0.000 0.500
Co 0.500 0.258 0.259
Co 0.500 0.258 0.741
Co 0.500 0.500 0.000
Co 0.500 0.742 0.259
Co 0.500 0.742 0.741
```

## Properties
Energy   -20.335 eV per atom
SG   Pmmm (47)

=====

[3]
La2ZnCo2 | meta-GGA SCAN | PBEsol geometry Values from VASP.

Geometry as Quantum ESPRESSO input:
```
&SYSTEM
  ibrav = 0, nat = 10, ntyp = 3
/
ATOMIC_SPECIES
La 138.91 La.upf
Zn 65.41 Zn.upf
Co 58.93 Co.upf
CELL_PARAMETERS angstrom
6.988 0.000 0.000
0.000 6.988 0.000
0.000 0.000 3.980
ATOMIC_POSITIONS crystal
La 0.185 0.315 0.000
La 0.315 0.815 0.000
La 0.685 0.185 0.000
La 0.815 0.685 0.000
Zn 0.000 0.000 0.500
Zn 0.500 0.500 0.500
Co 0.115 0.615 0.500
Co 0.385 0.115 0.500
Co 0.615 0.885 0.500
Co 0.885 0.385 0.500
```

## Properties
Energy   -26.856 eV per atom
SG   P4/mbm (127)

=====

[4]
LaZnCo2 | meta-GGA SCAN | PBEsol geometry Values from VASP.

Geometry as Quantum ESPRESSO input:
```
&SYSTEM
  ibrav = 0, nat = 4, ntyp = 3
/
ATOMIC_SPECIES
La 138.91 La.upf
Zn 65.41 Zn.upf
Co 58.93 Co.upf
CELL_PARAMETERS angstrom
3.001 0.000 0.000
0.000 3.001 0.000
0.000 0.000 7.069
ATOMIC_POSITIONS crystal
La 0.000 0.000 0.000
Zn 0.500 0.500 0.342
Co 0.000 0.000 0.543
Co 0.500 0.500 0.696
```

## Properties
Energy   -22.737 eV per atom
SG   P4mm (99)

=====

[5]
LaZnCo2 | meta-GGA SCAN | PBEsol geometry Values from VASP.

Geometry as Quantum ESPRESSO input:
```
&SYSTEM
  ibrav = 0, nat = 4, ntyp = 3
/
ATOMIC_SPECIES
La 138.91 La.upf
Zn 65.41 Zn.upf
Co 58.93 Co.upf
CELL_PARAMETERS angstrom
2.013 1.162 5.062
-2.013 1.162 5.062
0.000 -2.324 5.062
ATOMIC_POSITIONS crystal
La 0.000 0.000 0.000
Zn 0.195 0.195 0.195
Co 0.476 0.476 0.476
Co 0.802 0.802 0.802
```

## Properties
Energy   -22.916 eV per atom
SG   R3m (160)

=====

[6]
Li7Co | meta-GGA SCAN | PBEsol geometry Values from VASP.

Geometry as Quantum ESPRESSO input:
```
&SYSTEM
  ibrav = 0, nat = 8, ntyp = 2
/
ATOMIC_SPECIES
Li 6.94 Li.upf
Co 58.93 Co.upf
CELL_PARAMETERS angstrom
0.000 3.969 3.969
3.969 0.000 3.969
3.969 3.969 0.000
ATOMIC_POSITIONS crystal
Li 0.000 0.000 0.000
Li 0.000 0.000 0.500
Li 0.000 0.500 0.000
Li 0.000 0.500 0.500
Li 0.500 0.000 0.000
Li 0.500 0.000 0.500
Li 0.500 0.500 0.000
Co 0.500 0.500 0.500
```

## Properties
Energy   -4.116 eV per atom
SG   Fm-3m (225)

=====

- Among the records above, which one has the lowest energy?
  LaY3Co